Density functional theory data (PBE) for an optimized crystal structure of RbHoHg.

a b c (Å): 17.274 3.953 6.854
angles (deg): 90.00 90.00 90.00
Atoms (fractional coordinates):
Rb (0.170, 0.000, 0.000)
Rb (0.170, 0.500, 0.500)
Rb (0.830, 0.000, 0.000)
Rb (0.830, 0.500, 0.500)
Ho (0.381, 0.000, 0.331)
Ho (0.381, 0.500, 0.831)
Ho (0.619, 0.000, 0.331)
Ho (0.619, 0.500, 0.831)
Hg (0.000, 0.000, 0.333)
Hg (0.000, 0.500, 0.833)
Hg (0.500, 0.000, 0.998)
Hg (0.500, 0.500, 0.498)

Calculated values
The raw total energy is -1.860 eV per atom. The calculation puts the formation energy from the elements at 0.3 eV per formula unit. The value obtained for the density of states at the Fermi level is 8.9 states/eV/cell.

Density functional theory data (PBE) for an optimized crystal structure of TlSiIO2.

a b c (Å): 4.267 4.267 6.302
angles (deg): 90.00 90.00 90.00
Atoms (fractional coordinates):
Tl (0.000, 0.000, 0.000)
Si (0.500, 0.500, 0.500)
I (0.000, 0.000, 0.500)
O (0.000, 0.500, 0.000)
O (0.500, 0.000, 0.000)

Calculated values
The raw total energy is -3.380 eV per atom. As for the relative energy among the computed polymorphs: 79.4 kJ/mol of atoms. Its formation energy (no corrections) is 0.471 eV per atom. The value obtained for the density of states at the Fermi level is 4.3 states/eV/cell.

Density functional theory data (PBE) for an optimized crystal structure of NdDyEr.

a b c (Å): 6.188 10.713 6.189
angles (deg): 90.00 109.19 90.00
Atoms (fractional coordinates):
Nd (0.000, 0.250, 0.250)
Nd (0.000, 0.750, 0.750)
Nd (0.500, 0.250, 0.750)
Nd (0.500, 0.750, 0.250)
Dy (0.000, 0.082, 0.750)
Dy (0.000, 0.918, 0.250)
Dy (0.500, 0.418, 0.250)
Dy (0.500, 0.582, 0.750)
Er (0.000, 0.418, 0.750)
Er (0.000, 0.582, 0.250)
Er (0.500, 0.082, 0.250)
Er (0.500, 0.918, 0.750)

Calculated values
The raw total energy is -4.624 eV per atom. As for the relative energy among the computed polymorphs: 0.8 kJ/mol of atoms. The calculation puts the formation energy from the elements at 0.1 eV per formula unit. The value obtained for the density of states at the Fermi level is 16.4 states/eV/cell.

Density functional theory data (PBE) for an optimized crystal structure of NaSr6Hg.

a b c (Å): 5.942 5.942 20.741
angles (deg): 90.00 90.00 90.00
Atoms (fractional coordinates):
Na (0.000, 0.000, 0.000)
Na (0.500, 0.500, 0.500)
Sr (0.000, 0.000, 0.248)
Sr (0.000, 0.000, 0.752)
Sr (0.000, 0.500, 0.100)
Sr (0.000, 0.500, 0.400)
Sr (0.000, 0.500, 0.600)
Sr (0.000, 0.500, 0.900)
Sr (0.500, 0.000, 0.100)
Sr (0.500, 0.000, 0.400)
Sr (0.500, 0.000, 0.600)
Sr (0.500, 0.000, 0.900)
Sr (0.500, 0.500, 0.252)
Sr (0.500, 0.500, 0.748)
Hg (0.000, 0.000, 0.500)
Hg (0.500, 0.500, 0.000)

Calculated values
The raw total energy is -1.568 eV per atom. As for the relative energy among the computed polymorphs: 0.0 kJ/mol of atoms. The calculation puts the formation energy from the elements at -0.8 eV per formula unit. The value obtained for the density of states at the Fermi level is 19.7 states/eV/cell.

Density functional theory data (PBE) for an optimized crystal structure of RbAcAg10.

a b c (Å): 4.651 5.851 10.193
angles (deg): 90.00 90.00 90.00
Atoms (fractional coordinates):
Rb (0.000, 0.000, 0.000)
Ac (0.000, 0.500, 0.500)
Ag (0.000, 0.000, 0.337)
Ag (0.000, 0.000, 0.663)
Ag (0.000, 0.500, 0.172)
Ag (0.000, 0.500, 0.828)
Ag (0.500, 0.000, 0.500)
Ag (0.500, 0.257, 0.260)
Ag (0.500, 0.257, 0.740)
Ag (0.500, 0.500, 0.000)
Ag (0.500, 0.743, 0.260)
Ag (0.500, 0.743, 0.740)

Calculated values
The raw total energy is -2.857 eV per atom. The calculation puts the formation energy from the elements at -0.7 eV per formula unit. The value obtained for the density of states at the Fermi level is 6.7 states/eV/cell.

Density functional theory data (PBE) for an optimized crystal structure of V2TcAu.

a b c (Å): 6.884 6.884 5.433
angles (deg): 90.00 90.00 90.00
Atoms (fractional coordinates):
V (0.222, 0.250, 0.125)
V (0.250, 0.722, 0.375)
V (0.250, 0.778, 0.875)
V (0.278, 0.250, 0.625)
V (0.722, 0.750, 0.625)
V (0.750, 0.222, 0.875)
V (0.750, 0.278, 0.375)
V (0.778, 0.750, 0.125)
Tc (0.000, 0.000, 0.000)
Tc (0.000, 0.500, 0.250)
Tc (0.500, 0.000, 0.750)
Tc (0.500, 0.500, 0.500)
Au (0.000, 0.000, 0.500)
Au (0.000, 0.500, 0.750)
Au (0.500, 0.000, 0.250)
Au (0.500, 0.500, 0.000)

Calculated values
The raw total energy is -7.519 eV per atom. The calculation puts the formation energy from the elements at 1.8 eV per formula unit. The value obtained for the density of states at the Fermi level is 23.4 states/eV/cell.

Density functional theory data (PBE) for an optimized crystal structure of AlHg2W.

a b c (Å): 6.703 6.703 6.703
angles (deg): 90.00 90.00 90.00
Atoms (fractional coordinates):
Al (0.000, 0.000, 0.000)
Al (0.000, 0.500, 0.500)
Al (0.500, 0.000, 0.500)
Al (0.500, 0.500, 0.000)
Hg (0.000, 0.000, 0.500)
Hg (0.000, 0.500, 0.000)
Hg (0.250, 0.250, 0.750)
Hg (0.250, 0.750, 0.250)
Hg (0.500, 0.000, 0.000)
Hg (0.500, 0.500, 0.500)
Hg (0.750, 0.250, 0.250)
Hg (0.750, 0.750, 0.750)
W (0.250, 0.250, 0.250)
W (0.250, 0.750, 0.750)
W (0.750, 0.250, 0.750)
W (0.750, 0.750, 0.250)

Calculated values
The raw total energy is -3.437 eV per atom. The calculation puts the formation energy from the elements at 3.6 eV per formula unit. The value obtained for the density of states at the Fermi level is 15.3 states/eV/cell.

Density functional theory data (PBE) for an optimized crystal structure of Bi2AuO5.

a b c (Å): 8.740 8.740 5.876
angles (deg): 90.00 90.00 90.00
Atoms (fractional coordinates):
Bi (0.102, 0.602, 0.250)
Bi (0.102, 0.898, 0.750)
Bi (0.398, 0.602, 0.750)
Bi (0.398, 0.898, 0.250)
Bi (0.602, 0.102, 0.750)
Bi (0.602, 0.398, 0.250)
Bi (0.898, 0.102, 0.250)
Bi (0.898, 0.398, 0.750)
Au (0.250, 0.250, 0.096)
Au (0.250, 0.250, 0.596)
Au (0.750, 0.750, 0.404)
Au (0.750, 0.750, 0.904)
O (0.035, 0.168, 0.610)
O (0.035, 0.332, 0.110)
O (0.168, 0.035, 0.110)
O (0.168, 0.465, 0.610)
O (0.250, 0.750, 0.000)
O (0.250, 0.750, 0.500)
O (0.332, 0.035, 0.610)
O (0.332, 0.465, 0.110)
O (0.465, 0.168, 0.110)
O (0.465, 0.332, 0.610)
O (0.535, 0.668, 0.390)
O (0.535, 0.832, 0.890)
O (0.668, 0.535, 0.890)
O (0.668, 0.965, 0.390)
O (0.750, 0.250, 0.000)
O (0.750, 0.250, 0.500)
O (0.832, 0.535, 0.390)
O (0.832, 0.965, 0.890)
O (0.965, 0.668, 0.890)
O (0.965, 0.832, 0.390)

Calculated values
The raw total energy is -5.291 eV per atom. As for the relative energy among the computed polymorphs: 0.0 kJ/mol of atoms. Its formation energy (no corrections) is -0.812 eV per atom. The value obtained for the density of states at the Fermi level is 18.4 states/eV/cell.

Density functional theory data (PBE) for an optimized crystal structure of HfTi2CoH.

a b c (Å): 3.836 3.836 4.576
angles (deg): 90.00 90.00 90.00
Atoms (fractional coordinates):
Hf (0.000, 0.000, 0.000)
Ti (0.000, 0.500, 0.500)
Ti (0.500, 0.000, 0.500)
Co (0.500, 0.500, 0.000)
H (0.000, 0.000, 0.500)

Calculated values
The raw total energy is -7.369 eV per atom. As for the relative energy among the computed polymorphs: 0.0 kJ/mol of atoms. The value obtained for the density of states at the Fermi level is 6.5 states/eV/cell.